Computed, not measured: a relaxed Tb4PrNdSe8 crystal at the PBE level of DFT.

abc: 8.521 8.521 8.576
angles: 60.21 60.21 60.00
Fractional positions:
Tb 0.626 0.626 0.122
Tb 0.999 0.503 0.499
Se 0.238 0.238 0.286
Se 0.751 0.751 0.265
Se 0.245 0.245 0.731
Tb 0.503 0.999 0.499
Se 0.758 0.758 0.727
Pr 0.373 0.373 0.880
Se 0.751 0.232 0.265
Se 0.245 0.780 0.731
Se 0.232 0.751 0.265
Nd 0.999 0.999 0.002
Tb 0.999 0.999 0.499
Se 0.780 0.245 0.731

**D(E_F)**: 8.693 states/eV per cell
**Formation energy without anion corrections**: -1.723 eV per atom
**Crystal system**: trigonal


Computed, not measured: a relaxed Tb2PrNdSe6 crystal at the PBE level of DFT.

abc: 7.387 7.387 7.813
angles: 61.79 61.79 60.00
Fractional positions:
Pr 0.812 0.812 0.564
Se 0.129 0.398 0.746
Se 0.902 0.625 0.246
Tb 0.014 0.014 0.959
Se 0.728 0.129 0.746
Se 0.625 0.227 0.246
Nd 0.314 0.314 0.059
Se 0.227 0.902 0.246
Tb 0.515 0.514 0.457
Se 0.397 0.728 0.746

**D(E_F)**: 0.000 states/eV per cell
**Formation energy without anion corrections**: -1.846 eV per atom
**Crystal system**: trigonal


Computed, not measured: a relaxed Pr2Nd2Te2Se3 crystal at the PBE level of DFT.

abc: 5.795 5.795 8.990
angles: 108.80 108.80 90.00
Fractional positions:
Se 0.250 0.750 0.500
Nd 0.500 0.000 0.000
Se 0.000 0.000 0.000
Nd 0.000 0.500 0.000
Te 0.605 0.605 0.210
Te 0.395 0.395 0.790
Pr 0.197 0.197 0.394
Pr 0.803 0.803 0.606
Se 0.750 0.250 0.500

**D(E_F)**: 5.174 states/eV per cell
**Formation energy without anion corrections**: -1.489 eV per atom
**Crystal system**: tetragonal


Computed, not measured: a relaxed Pr3Nd4ThSe8 crystal at the PBE level of DFT.

abc: 8.484 8.475 8.482
angles: 119.98 120.01 90.00
Fractional positions:
Se 0.249 0.751 0.498
Se 0.753 0.751 0.002
Th 0.000 0.500 0.000
Se 0.249 0.247 0.498
Nd 0.500 0.000 0.000
Se 0.249 0.751 0.002
Pr 0.000 0.500 0.500
Se 0.751 0.753 0.502
Nd 0.000 0.000 0.500
Se 0.751 0.249 0.502
Nd 0.000 0.000 0.000
Se 0.751 0.249 0.998
Nd 0.500 0.000 0.500
Pr 0.500 0.500 0.000
Pr 0.500 0.500 0.500
Se 0.247 0.249 0.998

**D(E_F)**: 11.540 states/eV per cell
**Formation energy without anion corrections**: -1.796 eV per atom
**Crystal system**: trigonal


Computed, not measured: a relaxed PrNd2ThSe4 crystal at the PBE level of DFT.

abc: 4.213 7.340 7.339
angles: 70.68 90.00 90.00
Fractional positions:
Se 0.000 0.249 0.253
Nd 0.000 0.000 0.000
Th 0.000 0.500 0.500
Se 0.000 0.751 0.747
Nd 0.500 0.000 0.500
Se 0.500 0.250 0.748
Pr 0.500 0.500 0.000
Se 0.500 0.750 0.252

**D(E_F)**: 4.196 states/eV per cell
**Formation energy without anion corrections**: -1.758 eV per atom
**Crystal system**: monoclinic


Computed, not measured: a relaxed PrNdTh2Se4 crystal at the PBE level of DFT.

abc: 4.249 7.241 7.356
angles: 109.65 90.00 90.00
Fractional positions:
Nd 0.500 0.500 0.000
Pr 0.000 0.000 0.000
Se 0.500 0.748 0.749
Se 0.500 0.252 0.251
Th 0.000 0.500 0.500
Th 0.500 0.000 0.500
Se 0.000 0.251 0.750
Se 0.000 0.749 0.250

**D(E_F)**: 4.984 states/eV per cell
**Formation energy without anion corrections**: -1.679 eV per atom
**Crystal system**: monoclinic


Computed, not measured: a relaxed Pr3NdTl4Se8 crystal at the PBE level of DFT.

abc: 8.701 9.236 8.702
angles: 118.12 120.00 90.00
Fractional positions:
Tl 0.500 0.000 0.000
Tl 0.000 0.000 0.500
Se 0.739 0.712 0.976
Nd 0.000 0.500 0.000
Se 0.237 0.712 0.473
Tl 0.500 0.000 0.500
Se 0.237 0.712 0.976
Pr 0.500 0.500 0.000
Se 0.763 0.288 0.024
Se 0.262 0.287 0.525
Tl 0.000 0.000 0.000
Pr 0.000 0.500 0.500
Se 0.738 0.713 0.475
Se 0.763 0.288 0.527
Se 0.261 0.288 0.024
Pr 0.500 0.500 0.500

**Formation energy without anion corrections**: -1.376 eV per atom
**Crystal system**: trigonal


Computed, not measured: a relaxed PrNd2Tl3Se6 crystal at the PBE level of DFT.

abc: 7.512 7.512 8.146
angles: 98.84 98.84 120.00
Fractional positions:
Se 0.594 0.929 0.788
Nd 0.333 0.667 0.000
Se 0.071 0.406 0.212
Tl 0.166 0.834 0.500
Tl 0.834 0.166 0.500
Se 0.735 0.735 0.211
Pr 0.000 0.000 0.000
Se 0.406 0.071 0.212
Tl 0.500 0.500 0.500
Nd 0.667 0.333 0.000
Se 0.929 0.594 0.788
Se 0.265 0.265 0.789

**Formation energy without anion corrections**: -1.378 eV per atom
**Crystal system**: monoclinic


So what do the calculations give for E? Going down the list: -80.06, -58.18, -49.23, -97.44, -49.74, -51.76, -78.47, -58.86 eV for the cell shown.
So what do the calculations give for size of the total moment? Going down the list: 0.00, 0.00, 0.00, 0.00, 0.00, 0.00, 0.00, 0.00 μB per cell.